A plane-wave DFT calculation with GGA-PBE was carried out for a relaxed NdRe4Si2 crystal.

Calculated values
Fermi-level density of states: 0.39 states/eV per atom
electronic total energy: -0.719 Ry per atom
ΔE_f (raw): -0.45 eV per atom

Lattice parameters (Å, degrees): 7.344 15.490 4.165 90.00 90.00 90.00
Space group Pnnm (No. 58)
Inequivalent atoms, fractional coordinates:
1 Nd 0.079 0.118 0.000
2 Re 0.010 0.706 0.500
3 Re 0.068 0.582 0.000
4 Re 0.139 0.448 0.500
5 Re 0.232 0.321 0.000
6 Si 0.172 0.976 0.500
7 Si 0.208 0.727 0.000